! NaNpCrO6, optimized geometry, DFT GGA+U; values from VASP
! Total energy (eV per cell): -140.27
! Magnetization (Bohr magnetons per cell): 4.000
&SYSTEM
  ibrav = 0, nat = 18, ntyp = 4
/
ATOMIC_SPECIES
Cr 52.00 Cr.upf
Na 22.99 Na.upf
O 16.00 O.upf
Np 237.00 Np.upf
ATOMIC_POSITIONS crystal
Cr 0.667 0.333 0.750
Na 0.000 0.000 0.500
Cr 0.333 0.667 0.250
O 0.008 0.634 0.352
O 0.366 0.992 0.148
O 0.008 0.374 0.148
O 0.374 0.366 0.852
O 0.366 0.374 0.352
Np 0.333 0.667 0.750
O 0.634 0.626 0.648
O 0.992 0.626 0.852
O 0.374 0.008 0.648
Na 0.000 0.000 0.000
O 0.626 0.992 0.352
O 0.992 0.366 0.648
O 0.626 0.634 0.148
O 0.634 0.008 0.852
Np 0.667 0.333 0.250
CELL_PARAMETERS angstrom
5.329 0.000 0.000
-2.665 4.615 0.000
0.000 0.000 10.263